AlCu2Ni2: relaxed, PBE.

Cell: 4.9129 4.9129 6.5999 Å, 70.95 70.95 52.33°
Element x y z (fractional)
Ni (0.0774, 0.7250, 0.9507)
Ni (0.2750, 0.9226, 0.5493)
Ni (0.7250, 0.0774, 0.4507)
Ni (0.9226, 0.2750, 0.0493)
Al (0.3215, 0.6785, 0.2500)
Al (0.6785, 0.3215, 0.7500)
Cu (0.8753, 0.5256, 0.3475)
Cu (0.5256, 0.8753, 0.8475)
Cu (0.4744, 0.1247, 0.1525)
Cu (0.1247, 0.4744, 0.6525)

Properties
E ... -4.9428 eV/atom
DFT formation energy ... -5.61 kcal/mol of atoms
Fermi-level density of states ... 6.108 states/eV/cell

=====

YTcN3: relaxed, PBE.

Cell: 4.1732 4.5844 7.0015 Å, 90.00 107.33 90.00°
Element x y z (fractional)
N (0.5705, 0.7500, 0.6412)
N (0.1755, 0.1098, 0.8512)
N (0.1755, 0.3902, 0.8512)
N (0.8245, 0.8902, 0.1488)
N (0.4295, 0.2500, 0.3588)
N (0.8245, 0.6098, 0.1488)
Tc (0.9135, 0.2500, 0.3269)
Tc (0.0865, 0.7500, 0.6731)
Y (0.3930, 0.7500, 0.2860)
Y (0.6070, 0.2500, 0.7140)

Properties
E ... -8.6626 eV/atom
Formation energy without anion corrections ... -301 meV/atom
Fermi-level density of states ... 2.918 states/eV/cell

=====

LaPmTm2In4: relaxed, PBE.

Cell: 5.3859 5.3859 9.3553 Å, 73.27 73.27 60.00°
Element x y z (fractional)
Tm (0.2500, 0.2500, 0.2501)
Tm (0.7500, 0.7500, 0.7499)
In (0.1262, 0.1262, 0.6213)
In (0.3762, 0.3762, 0.8713)
In (0.8738, 0.8738, 0.3787)
In (0.6238, 0.6238, 0.1287)
Pm (0.5000, 0.5000, 0.5000)
La (0.0000, 0.0000, 0.0000)

Properties
E ... -4.1602 eV/atom
DFT formation energy ... -10.69 kcal/mol of atoms
Fermi-level density of states ... 3.156 states/eV/cell

=====

TbDy4Rh4: relaxed, PBE.

Cell: 5.6191 8.7949 8.7949 Å, 90.00 90.00 90.00°
Element x y z (fractional)
Tb (0.0000, 0.0000, 0.0000)
Tb (0.5000, 0.5000, 0.5000)
Dy (0.0917, 0.8186, 0.4127)
Dy (0.9083, 0.4127, 0.1814)
Dy (0.5917, 0.0873, 0.3186)
Dy (0.0917, 0.1814, 0.5873)
Dy (0.9083, 0.5873, 0.8186)
Dy (0.4083, 0.3186, 0.9127)
Dy (0.5917, 0.9127, 0.6814)
Dy (0.4083, 0.6814, 0.0873)
Rh (0.9051, 0.2776, 0.8759)
Rh (0.0949, 0.8759, 0.7224)
Rh (0.4051, 0.3759, 0.2224)
Rh (0.9051, 0.7224, 0.1241)
Rh (0.4051, 0.6241, 0.7776)
Rh (0.5949, 0.7776, 0.3759)
Rh (0.5949, 0.2224, 0.6241)
Rh (0.0949, 0.1241, 0.2776)

Properties
E ... -6.4931 eV/atom
DFT formation energy ... -15.36 kcal/mol of atoms
Fermi-level density of states ... 11.271 states/eV/cell

=====

Ti2Co2Mo: relaxed, PBE.

Cell: 6.9735 6.9735 2.8329 Å, 90.00 90.00 90.00°
Element x y z (fractional)
Ti (0.1637, 0.6637, 0.5000)
Ti (0.3363, 0.1637, 0.5000)
Ti (0.8363, 0.3363, 0.5000)
Ti (0.6637, 0.8363, 0.5000)
Co (0.1305, 0.3695, 0.0000)
Co (0.8695, 0.6305, 0.0000)
Co (0.3695, 0.8695, 0.0000)
Co (0.6305, 0.1305, 0.0000)
Mo (0.0000, 0.0000, 0.0000)
Mo (0.5000, 0.5000, 0.0000)

Properties
E ... -8.3075 eV/atom
DFT formation energy ... -3.25 kcal/mol of atoms
Fermi-level density of states ... 9.629 states/eV/cell

=====

K2Hg2Cl5: relaxed, PBE.

Cell: 5.4315 7.8840 7.9388 Å, 115.77 90.00 110.15°
Element x y z (fractional)
Cl (0.1483, 0.2967, 0.5284)
Cl (0.6360, 0.2720, 0.8877)
Cl (0.8517, 0.7033, 0.4716)
Cl (0.0000, 0.0000, 0.0000)
Cl (0.3640, 0.7280, 0.1123)
K (0.3868, 0.7736, 0.7096)
K (0.6132, 0.2264, 0.2904)
Hg (0.1237, 0.2475, 0.8349)
Hg (0.8763, 0.7525, 0.1651)

Properties
E ... -2.4573 eV/atom
Formation energy without anion corrections ... -1120 meV/atom
Fermi-level density of states ... 0.862 states/eV/cell

=====

Ca6ZnAg3: relaxed, PBE.

Cell: 4.2815 11.3185 13.6417 Å, 111.39 90.00 90.00°
Element x y z (fractional)
Ca (0.2500, 0.1596, 0.2069)
Ca (0.2500, 0.2504, 0.6733)
Ca (0.7500, 0.4209, 0.0972)
Ca (0.7500, 0.8434, 0.1017)
Ca (0.2500, 0.1566, 0.8983)
Ca (0.2500, 0.9008, 0.5703)
Ca (0.7500, 0.4819, 0.6178)
Ca (0.2500, 0.5791, 0.9028)
Ca (0.7500, 0.7496, 0.3267)
Ca (0.7500, 0.0992, 0.4297)
Ca (0.7500, 0.8404, 0.7931)
Ca (0.2500, 0.5181, 0.3822)
Zn (0.7500, 0.0812, 0.7154)
Zn (0.2500, 0.9188, 0.2846)
Ag (0.7500, 0.6955, 0.5358)
Ag (0.2500, 0.3045, 0.4642)
Ag (0.7500, 0.0926, 0.0324)
Ag (0.7500, 0.3519, 0.8450)
Ag (0.2500, 0.9074, 0.9676)
Ag (0.2500, 0.6481, 0.1550)

Properties
E ... -2.3888 eV/atom
DFT formation energy ... -4.73 kcal/mol of atoms
Fermi-level density of states ... 12.660 states/eV/cell

=====

TlTcAu2: relaxed, PBE.

Cell: 4.1166 4.1154 4.3540 Å, 90.00 90.00 90.00°
Element x y z (fractional)
Tl (0.0000, 0.5000, 0.5000)
Au (0.5000, 0.5000, 0.0000)
Au (0.0000, 0.0000, 0.0000)
Tc (0.5000, 0.0000, 0.5000)

Properties
E ... -4.3922 eV/atom
DFT formation energy ... 9.91 kcal/mol of atoms
Fermi-level density of states ... 2.794 states/eV/cell

=====

PmNdTm3: relaxed, PBE.

Cell: 9.5962 5.6663 6.2806 Å, 90.00 109.17 90.00°
Element x y z (fractional)
Tm (0.0002, 0.4500, 0.8375)
Tm (0.3985, 0.9499, 0.3645)
Tm (0.1970, 0.9500, 0.7647)
Tm (0.8030, 0.4500, 0.2353)
Tm (0.6015, 0.4499, 0.6355)
Tm (0.9998, 0.9500, 0.1625)
Nd (0.8008, 0.9500, 0.5674)
Nd (0.1992, 0.4500, 0.4326)
Pm (0.6011, 0.9500, 0.9659)
Pm (0.3989, 0.4500, 0.0341)

Properties
E ... -4.5724 eV/atom
DFT formation energy ... 0.33 kcal/mol of atoms
Fermi-level density of states ... 15.496 states/eV/cell

=====

YHoTe2O: relaxed, PBE.

Cell: 4.1239 4.1239 15.7680 Å, 90.00 90.00 90.00°
Element x y z (fractional)
Y (0.5000, 0.0000, 0.5650)
Y (0.0000, 0.5000, 0.4350)
Te (0.5000, 0.0000, 0.9169)
Te (0.0000, 0.5000, 0.6848)
Te (0.5000, 0.0000, 0.3152)
Te (0.0000, 0.5000, 0.0831)
O (0.0000, 0.0000, 0.5000)
O (0.5000, 0.5000, 0.5000)
Ho (0.5000, 0.0000, 0.1343)
Ho (0.0000, 0.5000, 0.8657)

Properties
E ... -6.5061 eV/atom
Formation energy without anion corrections ... -2049 meV/atom
Fermi-level density of states ... 2.804 states/eV/cell

=====

SrAc2La: relaxed, PBE.

Cell: 3.9057 3.9057 14.0224 Å, 81.99 81.99 60.00°
Element x y z (fractional)
Sr (0.0000, 0.0000, 0.0000)
Ac (0.9079, 0.9079, 0.2762)
Ac (0.0921, 0.0921, 0.7238)
La (0.5000, 0.5000, 0.5000)

Properties
E ... -3.5736 eV/atom
DFT formation energy ... 3.07 kcal/mol of atoms
Fermi-level density of states ... 5.784 states/eV/cell

=====

KAu2C2: relaxed, PBE.

Cell: 4.0147 4.0147 6.0950 Å, 70.77 70.77 90.00°
Element x y z (fractional)
Au (0.7500, 0.2500, 0.5000)
Au (0.2500, 0.7500, 0.5000)
C (0.5595, 0.5595, 0.8811)
C (0.4405, 0.4405, 0.1189)
K (0.0000, 0.0000, 0.0000)

Properties
E ... -4.3033 eV/atom
DFT formation energy ... 21.14 kcal/mol of atoms
Fermi-level density of states ... 1.392 states/eV/cell

=====

Mg2Pd2I: relaxed, PBE.

Cell: 7.5566 7.5566 3.4893 Å, 90.00 90.00 90.00°
Element x y z (fractional)
Pd (0.1332, 0.3668, 0.0000)
Pd (0.8668, 0.6332, 0.0000)
Pd (0.3668, 0.8668, 0.0000)
Pd (0.6332, 0.1332, 0.0000)
Mg (0.8456, 0.3456, 0.5000)
Mg (0.1544, 0.6544, 0.5000)
Mg (0.3456, 0.1544, 0.5000)
Mg (0.6544, 0.8456, 0.5000)
I (0.5000, 0.5000, 0.0000)
I (0.0000, 0.0000, 0.0000)

Properties
E ... -3.4354 eV/atom
Formation energy without anion corrections ... -410 meV/atom
Fermi-level density of states ... 4.342 states/eV/cell

=====

LiInS2: relaxed, PBE.

Cell: 8.1679 3.7299 12.8917 Å, 90.00 90.00 90.00°
Element x y z (fractional)
In (0.9293, 0.2500, 0.1105)
In (0.0707, 0.7500, 0.8895)
In (0.5707, 0.7500, 0.6105)
In (0.4293, 0.2500, 0.3895)
S (0.0082, 0.2500, 0.7627)
S (0.2924, 0.7500, 0.5119)
S (0.2076, 0.2500, 0.0119)
S (0.7076, 0.2500, 0.4881)
S (0.4918, 0.7500, 0.2627)
S (0.7924, 0.7500, 0.9881)
S (0.9918, 0.7500, 0.2373)
S (0.5082, 0.2500, 0.7373)
Li (0.2343, 0.2500, 0.6442)
Li (0.7657, 0.7500, 0.3558)
Li (0.2657, 0.7500, 0.1442)
Li (0.7343, 0.2500, 0.8558)

Properties
E ... -4.0269 eV/atom
Formation energy without anion corrections ... -800 meV/atom
Fermi-level density of states ... 0.000 states/eV/cell

=====

SrSbOs2: relaxed, PBE.

Cell: 5.7350 5.7350 5.7350 Å, 147.90 125.52 64.65°
Element x y z (fractional)
Os (0.9710, 0.9710, 0.0000)
Os (0.5290, 0.5290, 0.0000)
Sr (0.2500, 0.7500, 0.5000)
Sb (0.7500, 0.2500, 0.5000)

Properties
E ... -6.1613 eV/atom
Formation energy without anion corrections ... 905 meV/atom
Fermi-level density of states ... 4.336 states/eV/cell

=====

ZrPaBe17: relaxed, PBE.

Cell: 5.7720 5.7720 5.7720 Å, 82.78 82.78 82.78°
Element x y z (fractional)
Be (0.6612, 0.6612, 0.1566)
Be (0.9988, 0.9988, 0.5002)
Be (0.7193, 0.2820, 0.9982)
Be (0.2820, 0.9982, 0.7193)
Be (0.9982, 0.2820, 0.7193)
Be (0.9036, 0.9036, 0.9036)
Be (0.8414, 0.3419, 0.3419)
Be (0.6612, 0.1566, 0.6612)
Be (0.5002, 0.9988, 0.9988)
Be (0.9982, 0.7193, 0.2820)
Be (0.1566, 0.6612, 0.6612)
Be (0.0934, 0.0934, 0.0934)
Be (0.3419, 0.3419, 0.8414)
Be (0.2820, 0.7193, 0.9982)
Be (0.7193, 0.9982, 0.2820)
Be (0.9988, 0.5002, 0.9988)
Be (0.3419, 0.8414, 0.3419)
Zr (0.6623, 0.6623, 0.6623)
Pa (0.3396, 0.3396, 0.3396)

Properties
E ... -4.4353 eV/atom
DFT formation energy ... -3.50 kcal/mol of atoms
Fermi-level density of states ... 3.927 states/eV/cell

=====

Nd5Pt2: relaxed, PBE.

Cell: 6.7705 7.2709 9.2299 Å, 96.34 111.52 90.00°
Element x y z (fractional)
Nd (0.9858, 0.9281, 0.1872)
Nd (0.5671, 0.2500, 0.0000)
Nd (0.6502, 0.8131, 0.4385)
Nd (0.0142, 0.0719, 0.8128)
Nd (0.2014, 0.4281, 0.1872)
Nd (0.7986, 0.5719, 0.8128)
Nd (0.2117, 0.6869, 0.5615)
Nd (0.4329, 0.7500, 0.0000)
Nd (0.7883, 0.3131, 0.4385)
Nd (0.3498, 0.1869, 0.5615)
Pt (0.8115, 0.5742, 0.2234)
Pt (0.5882, 0.9258, 0.7766)
Pt (0.1885, 0.4258, 0.7766)
Pt (0.4118, 0.0742, 0.2234)

Properties
E ... -5.8321 eV/atom
DFT formation energy ... -16.16 kcal/mol of atoms
Fermi-level density of states ... 16.193 states/eV/cell

=====

Pa3Si2Au4: relaxed, PBE.

Cell: 4.3573 5.7370 8.7913 Å, 109.49 90.00 112.32°
Element x y z (fractional)
Si (0.6084, 0.2168, 0.2822)
Si (0.3916, 0.7832, 0.7178)
Pa (0.6769, 0.3539, 0.6397)
Pa (0.3231, 0.6461, 0.3603)
Pa (0.0000, 0.0000, 0.0000)
Au (0.7336, 0.4672, 0.0885)
Au (0.9857, 0.9713, 0.6531)
Au (0.0143, 0.0287, 0.3469)
Au (0.2664, 0.5328, 0.9115)

Properties
E ... -6.2552 eV/atom
Formation energy without anion corrections ... -428 meV/atom
Fermi-level density of states ... 8.531 states/eV/cell

=====

K2CuSi2Se6: relaxed, PBE.

Cell: 7.1798 7.1798 8.5446 Å, 65.16 65.16 60.00°
Element x y z (fractional)
K (0.2237, 0.2237, 0.3288)
K (0.7763, 0.7763, 0.6712)
Se (0.2369, 0.2369, 0.7583)
Se (0.2369, 0.7679, 0.7583)
Se (0.7631, 0.2321, 0.2417)
Se (0.7631, 0.7631, 0.2417)
Se (0.2321, 0.7631, 0.2417)
Se (0.7679, 0.2369, 0.7583)
Si (0.5907, 0.5907, 0.2279)
Si (0.4093, 0.4093, 0.7721)
Cu (0.0000, 0.0000, 0.0000)

Properties
E ... -3.8946 eV/atom
Formation energy without anion corrections ... -436 meV/atom
Fermi-level density of states ... 7.170 states/eV/cell

=====

HfCl3: relaxed, PBE.

Cell: 10.5139 10.5139 10.5139 Å, 17.87 17.87 17.87°
Element x y z (fractional)
Cl (0.8904, 0.8904, 0.8904)
Cl (0.0000, 0.0000, 0.0000)
Cl (0.1096, 0.1096, 0.1096)
Hf (0.5000, 0.5000, 0.5000)

Properties
E ... -4.7902 eV/atom
Formation energy without anion corrections ... -917 meV/atom
Fermi-level density of states ... 2.531 states/eV/cell